No. 1
Entry from Alexandria via LeMat-Bulk: a geometry-optimized Ce3Nd2Co2 structure (PBE). Values from VASP.

Space-group type: C2/m
Raw total energy (eV per cell): -84.96
Magnetization (μB/cell): 0.0
ΔE_f (eV per atom): -0.133

```
&SYSTEM
  ibrav = 0, nat = 14, ntyp = 3
/
ATOMIC_SPECIES
Ce 140.12 Ce.upf
Nd 144.24 Nd.upf
Co 58.93 Co.upf
CELL_PARAMETERS angstrom
11.6472 0.0000 0.0000
0.0000 3.6547 0.0000
-3.1788 0.0000 8.0996
ATOMIC_POSITIONS crystal
Ce 0.0000 0.0000 0.0000
Ce 0.1202 0.0000 0.4287
Ce 0.3798 0.5000 0.5713
Ce 0.5000 0.5000 0.0000
Ce 0.6202 0.5000 0.4287
Ce 0.8798 0.0000 0.5713
Nd 0.1667 0.5000 0.7988
Nd 0.3333 0.0000 0.2012
Nd 0.6667 0.0000 0.7988
Nd 0.8333 0.5000 0.2012
Co 0.1167 0.5000 0.2185
Co 0.3833 0.0000 0.7815
Co 0.6167 0.0000 0.2185
Co 0.8833 0.5000 0.7815
```

---

No. 2
Entry from Alexandria via LeMat-Bulk: a geometry-optimized Ce2NdCo structure (PBE). Values from VASP.

Space-group type: Pnma
Polymorph energy (0 for the lowest one) (meV/atom): 0
Raw total energy (eV per cell): -193.40
Magnetization (μB/cell): 0.0
ΔE_f (eV per atom): -0.108

```
&SYSTEM
  ibrav = 0, nat = 32, ntyp = 3
/
ATOMIC_SPECIES
Ce 140.12 Ce.upf
Nd 144.24 Nd.upf
Co 58.93 Co.upf
CELL_PARAMETERS angstrom
13.7236 0.0000 0.0000
0.0000 9.5956 0.0000
0.0000 0.0000 6.1319
ATOMIC_POSITIONS crystal
Ce 0.0378 0.0636 0.2410
Ce 0.0378 0.4364 0.2410
Ce 0.2121 0.5679 0.9254
Ce 0.2121 0.9321 0.9254
Ce 0.2879 0.0679 0.4254
Ce 0.2879 0.4321 0.4254
Ce 0.4622 0.5636 0.7410
Ce 0.4622 0.9364 0.7410
Ce 0.5378 0.0636 0.2590
Ce 0.5378 0.4364 0.2590
Ce 0.7121 0.5679 0.5746
Ce 0.7121 0.9321 0.5746
Ce 0.7879 0.0679 0.0746
Ce 0.7879 0.4321 0.0746
Ce 0.9622 0.5636 0.7590
Ce 0.9622 0.9364 0.7590
Nd 0.1017 0.2500 0.7392
Nd 0.1456 0.7500 0.4417
Nd 0.3544 0.2500 0.9417
Nd 0.3983 0.7500 0.2392
Nd 0.6017 0.2500 0.7608
Nd 0.6456 0.7500 0.0583
Nd 0.8544 0.2500 0.5583
Nd 0.8983 0.7500 0.2608
Co 0.0774 0.7500 0.9512
Co 0.1707 0.2500 0.2365
Co 0.3293 0.7500 0.7365
Co 0.4226 0.2500 0.4512
Co 0.5774 0.7500 0.5488
Co 0.6707 0.2500 0.2635
Co 0.8293 0.7500 0.7635
Co 0.9226 0.2500 0.0488
```

---

No. 3
Entry from Alexandria via LeMat-Bulk: a geometry-optimized Ce6NdCo3 structure (PBE). Values from VASP.

Space-group type: Cmc2_1
Raw total energy (eV per cell): -124.92
Magnetization (μB/cell): 2.3
ΔE_f (eV per atom): -0.077

```
&SYSTEM
  ibrav = 0, nat = 20, ntyp = 3
/
ATOMIC_SPECIES
Ce 140.12 Ce.upf
Nd 144.24 Nd.upf
Co 58.93 Co.upf
CELL_PARAMETERS angstrom
5.4154 -6.3168 0.0000
5.4154 6.3168 0.0000
0.0000 0.0000 6.9275
ATOMIC_POSITIONS crystal
Ce 0.0422 0.9578 0.5000
Ce 0.0463 0.4095 0.5992
Ce 0.2248 0.7752 0.7637
Ce 0.2862 0.3855 0.9590
Ce 0.3855 0.2862 0.4590
Ce 0.4095 0.0463 0.0992
Ce 0.5905 0.9537 0.5992
Ce 0.6145 0.7138 0.9590
Ce 0.7138 0.6145 0.4590
Ce 0.7752 0.2248 0.2637
Ce 0.9537 0.5905 0.0992
Ce 0.9578 0.0422 0.0000
Nd 0.3193 0.6807 0.2957
Nd 0.6807 0.3193 0.7957
Co 0.1089 0.2944 0.2876
Co 0.2944 0.1089 0.7876
Co 0.4195 0.5805 0.6663
Co 0.5805 0.4195 0.1663
Co 0.7056 0.8911 0.2876
Co 0.8911 0.7056 0.7876
```

---

No. 4
Entry from Alexandria via LeMat-Bulk: a geometry-optimized Ce2NdCo structure (PBE). Values from VASP.

Space-group type: R-3m
Polymorph energy (0 for the lowest one) (meV/atom): 384
Raw total energy (eV per cell): -67.92
Magnetization (μB/cell): 0.0
ΔE_f (eV per atom): 0.276

```
&SYSTEM
  ibrav = 0, nat = 12, ntyp = 3
/
ATOMIC_SPECIES
Ce 140.12 Ce.upf
Nd 144.24 Nd.upf
Co 58.93 Co.upf
CELL_PARAMETERS angstrom
5.4587 0.0000 0.0000
-2.7294 4.7274 0.0000
0.0000 0.0000 11.1267
ATOMIC_POSITIONS crystal
Ce 0.0000 0.0000 0.2188
Ce 0.0000 0.0000 0.7812
Ce 0.3333 0.6667 0.4479
Ce 0.3333 0.6667 0.8855
Ce 0.6667 0.3333 0.1145
Ce 0.6667 0.3333 0.5521
Nd 0.0000 0.0000 0.5000
Nd 0.3333 0.6667 0.1667
Nd 0.6667 0.3333 0.8333
Co 0.0000 0.0000 0.0000
Co 0.3333 0.6667 0.6667
Co 0.6667 0.3333 0.3333
```

---

No. 5
Entry from Alexandria via LeMat-Bulk: a geometry-optimized Ce2NdCo9 structure (PBE). Values from VASP.

Space-group type: R-3m
Raw total energy (eV per cell): -82.31
Magnetization (μB/cell): 7.6
ΔE_f (eV per atom): -0.143

```
&SYSTEM
  ibrav = 0, nat = 12, ntyp = 3
/
ATOMIC_SPECIES
Ce 140.12 Ce.upf
Nd 144.24 Nd.upf
Co 58.93 Co.upf
CELL_PARAMETERS angstrom
2.4737 1.4282 8.2611
-2.4737 1.4282 8.2611
0.0000 -2.8564 8.2611
ATOMIC_POSITIONS crystal
Ce 0.1400 0.1400 0.1400
Ce 0.8600 0.8600 0.8600
Nd 0.0000 0.0000 0.0000
Co 0.0830 0.5796 0.5796
Co 0.3326 0.3326 0.3326
Co 0.4204 0.4204 0.9170
Co 0.4204 0.9170 0.4204
Co 0.5000 0.5000 0.5000
Co 0.5796 0.0830 0.5796
Co 0.5796 0.5796 0.0830
Co 0.6674 0.6674 0.6674
Co 0.9170 0.4204 0.4204
```

---

No. 6
Entry from Alexandria via LeMat-Bulk: a geometry-optimized Ce2NdCo structure (PBE). Values from VASP.

Space-group type: P4/mmm
Polymorph energy (0 for the lowest one) (meV/atom): 105
Raw total energy (eV per cell): -23.76
Magnetization (μB/cell): 0.0
ΔE_f (eV per atom): -0.003

```
&SYSTEM
  ibrav = 0, nat = 4, ntyp = 3
/
ATOMIC_SPECIES
Ce 140.12 Ce.upf
Nd 144.24 Nd.upf
Co 58.93 Co.upf
CELL_PARAMETERS angstrom
3.4981 0.0000 0.0000
0.0000 3.4981 0.0000
0.0000 0.0000 8.3626
ATOMIC_POSITIONS crystal
Ce 0.0000 0.0000 0.1707
Ce 0.0000 0.0000 0.8293
Nd 0.5000 0.5000 0.5000
Co 0.5000 0.5000 0.0000
```

---

No. 7
Entry from Alexandria via LeMat-Bulk: a geometry-optimized CeNd3Co structure (PBE). Values from VASP.

Space-group type: Pm-3m
Raw total energy (eV per cell): -26.53
Magnetization (μB/cell): 3.0
ΔE_f (eV per atom): 0.163

```
&SYSTEM
  ibrav = 0, nat = 5, ntyp = 3
/
ATOMIC_SPECIES
Ce 140.12 Ce.upf
Nd 144.24 Nd.upf
Co 58.93 Co.upf
CELL_PARAMETERS angstrom
5.4508 0.0000 0.0000
0.0000 5.4508 0.0000
0.0000 0.0000 5.4508
ATOMIC_POSITIONS crystal
Ce 0.0000 0.0000 0.0000
Nd 0.0000 0.5000 0.5000
Nd 0.5000 0.0000 0.5000
Nd 0.5000 0.5000 0.0000
Co 0.5000 0.5000 0.5000
```

---

No. 8
Entry from Alexandria via LeMat-Bulk: a geometry-optimized CeNdCoNi structure (PBE). Values from VASP.

Space-group type: F-43m
Raw total energy (eV per cell): -96.00
Magnetization (μB/cell): 1.2
ΔE_f (eV per atom): -0.103

```
&SYSTEM
  ibrav = 0, nat = 16, ntyp = 4
/
ATOMIC_SPECIES
Ce 140.12 Ce.upf
Nd 144.24 Nd.upf
Co 58.93 Co.upf
Ni 58.69 Ni.upf
CELL_PARAMETERS angstrom
6.8594 0.0000 0.0000
0.0000 6.8594 0.0000
0.0000 0.0000 6.8594
ATOMIC_POSITIONS crystal
Ce 0.0000 0.0000 0.0000
Ce 0.0000 0.5000 0.5000
Ce 0.5000 0.0000 0.5000
Ce 0.5000 0.5000 0.0000
Nd 0.0000 0.0000 0.5000
Nd 0.0000 0.5000 0.0000
Nd 0.5000 0.0000 0.0000
Nd 0.5000 0.5000 0.5000
Co 0.2500 0.2500 0.7500
Co 0.2500 0.7500 0.2500
Co 0.7500 0.2500 0.2500
Co 0.7500 0.7500 0.7500
Ni 0.2500 0.2500 0.2500
Ni 0.2500 0.7500 0.7500
Ni 0.7500 0.2500 0.7500
Ni 0.7500 0.7500 0.2500
```

---

No. 9
Entry from Alexandria via LeMat-Bulk: a geometry-optimized CeNdCoOs structure (PBE). Values from VASP.

Space-group type: F-43m
Raw total energy (eV per cell): -116.23
Magnetization (μB/cell): 1.8
ΔE_f (eV per atom): -0.005

```
&SYSTEM
  ibrav = 0, nat = 16, ntyp = 4
/
ATOMIC_SPECIES
Ce 140.12 Ce.upf
Nd 144.24 Nd.upf
Co 58.93 Co.upf
Os 190.23 Os.upf
CELL_PARAMETERS angstrom
6.9387 0.0000 0.0000
0.0000 6.9387 0.0000
0.0000 0.0000 6.9387
ATOMIC_POSITIONS crystal
Ce 0.0000 0.0000 0.0000
Ce 0.0000 0.5000 0.5000
Ce 0.5000 0.0000 0.5000
Ce 0.5000 0.5000 0.0000
Nd 0.0000 0.0000 0.5000
Nd 0.0000 0.5000 0.0000
Nd 0.5000 0.0000 0.0000
Nd 0.5000 0.5000 0.5000
Co 0.2500 0.2500 0.7500
Co 0.2500 0.7500 0.2500
Co 0.7500 0.2500 0.2500
Co 0.7500 0.7500 0.7500
Os 0.2500 0.2500 0.2500
Os 0.2500 0.7500 0.7500
Os 0.7500 0.2500 0.7500
Os 0.7500 0.7500 0.2500
```

---

No. 10
Entry from Alexandria via LeMat-Bulk: a geometry-optimized CeNdCoRu structure (PBE). Values from VASP.

Space-group type: F-43m
Raw total energy (eV per cell): -109.96
Magnetization (μB/cell): 2.0
ΔE_f (eV per atom): -0.101

```
&SYSTEM
  ibrav = 0, nat = 16, ntyp = 4
/
ATOMIC_SPECIES
Ce 140.12 Ce.upf
Nd 144.24 Nd.upf
Co 58.93 Co.upf
Ru 101.07 Ru.upf
CELL_PARAMETERS angstrom
6.9221 0.0000 0.0000
0.0000 6.9221 0.0000
0.0000 0.0000 6.9221
ATOMIC_POSITIONS crystal
Ce 0.0000 0.0000 0.0000
Ce 0.0000 0.5000 0.5000
Ce 0.5000 0.0000 0.5000
Ce 0.5000 0.5000 0.0000
Nd 0.0000 0.0000 0.5000
Nd 0.0000 0.5000 0.0000
Nd 0.5000 0.0000 0.0000
Nd 0.5000 0.5000 0.5000
Co 0.2500 0.2500 0.7500
Co 0.2500 0.7500 0.2500
Co 0.7500 0.2500 0.2500
Co 0.7500 0.7500 0.7500
Ru 0.2500 0.2500 0.2500
Ru 0.2500 0.7500 0.7500
Ru 0.7500 0.2500 0.7500
Ru 0.7500 0.7500 0.2500
```